No. 1
# AcAgH GGA-PBE relaxed
data_AcAgH
_chemical_formula_sum 'Ac2 Ag2 H2'
_symmetry_space_group_name_H-M 'P 1 21/m 1'
_symmetry_Int_Tables_number 11
_cell_length_a 4.322
_cell_length_b 4.470
_cell_length_c 7.142
_cell_angle_alpha 90.00
_cell_angle_beta 107.46
_cell_angle_gamma 90.00
loop_
_symmetry_equiv_pos_as_xyz
'x,y,z'
'-x,-y,-z'
'-x,y+1/2,-z'
'x,-y+1/2,z'
loop_
_atom_site_label
_atom_site_type_symbol
_atom_site_fract_x
_atom_site_fract_y
_atom_site_fract_z
_atom_site_occupancy
Ac1 Ac 0.154 0.250 0.308 1
Ag1 Ag 0.438 0.250 0.877 1
H1 H 0.249 0.750 0.496 1
# Excess energy over the best structure of this formula in the dataset   0 meV/atom

---

No. 2
# ZnIn2W GGA-PBE relaxed
data_ZnIn2W
_chemical_formula_sum 'Zn2 In4 W2'
_symmetry_space_group_name_H-M 'C 1 2/m 1'
_symmetry_Int_Tables_number 12
_cell_length_a 5.853
_cell_length_b 8.592
_cell_length_c 2.982
_cell_angle_alpha 90.00
_cell_angle_beta 90.29
_cell_angle_gamma 90.00
loop_
_symmetry_equiv_pos_as_xyz
'x,y,z'
'-x,-y,-z'
'-x,y,-z'
'x,-y,z'
'x+1/2,y+1/2,z'
'-x+1/2,-y+1/2,-z'
'-x+1/2,y+1/2,-z'
'x+1/2,-y+1/2,z'
loop_
_atom_site_label
_atom_site_type_symbol
_atom_site_fract_x
_atom_site_fract_y
_atom_site_fract_z
_atom_site_occupancy
Zn1 Zn 0.000 0.000 0.000 1
In1 In 0.250 0.250 0.500 1
W1 W 0.000 0.500 0.000 1
# Energy of formation   0.47 eV per atom

---

No. 3
# HfTeMo2 GGA-PBE relaxed
data_HfTeMo2
_chemical_formula_sum 'Hf4 Te4 Mo8'
_symmetry_space_group_name_H-M 'I -4 2 d'
_symmetry_Int_Tables_number 122
_symmetry_space_group_name_Hall 'I -4 2bw'
_cell_length_a 4.058
_cell_length_b 4.058
_cell_length_c 19.780
_cell_angle_alpha 90.00
_cell_angle_beta 90.00
_cell_angle_gamma 90.00
loop_
_atom_site_label
_atom_site_type_symbol
_atom_site_fract_x
_atom_site_fract_y
_atom_site_fract_z
_atom_site_occupancy
Hf1 Hf 0.000 0.000 0.000 1
Te1 Te 0.000 0.000 0.500 1
Mo1 Mo 0.198 0.250 0.625 1
# Formation energy without anion corrections   11.61 kcal/mol of atoms

---

No. 4
# PmZrCo4 GGA-PBE relaxed
data_PmZrCo4
_chemical_formula_sum 'Pm4 Zr4 Co16'
_symmetry_space_group_name_H-M 'F -4 3 m'
_symmetry_Int_Tables_number 216
_symmetry_space_group_name_Hall 'F -4 2 3'
_cell_length_a 7.102
_cell_length_b 7.102
_cell_length_c 7.102
_cell_angle_alpha 90.00
_cell_angle_beta 90.00
_cell_angle_gamma 90.00
loop_
_atom_site_label
_atom_site_type_symbol
_atom_site_fract_x
_atom_site_fract_y
_atom_site_fract_z
_atom_site_occupancy
Pm1 Pm 0.000 0.000 0.000 1
Zr1 Zr 0.250 0.250 0.250 1
Co1 Co 0.124 0.124 0.624 1
# Energy of formation   -0.13 eV per atom

---

Number 1 is which compound?
AcAgH

---

Which formula does entry 1 have?
AcAgH

---

Copy entry 2 word for word.
# ZnIn2W GGA-PBE relaxed
data_ZnIn2W
_chemical_formula_sum 'Zn2 In4 W2'
_symmetry_space_group_name_H-M 'C 1 2/m 1'
_symmetry_Int_Tables_number 12
_cell_length_a 5.853
_cell_length_b 8.592
_cell_length_c 2.982
_cell_angle_alpha 90.00
_cell_angle_beta 90.29
_cell_angle_gamma 90.00
loop_
_symmetry_equiv_pos_as_xyz
'x,y,z'
'-x,-y,-z'
'-x,y,-z'
'x,-y,z'
'x+1/2,y+1/2,z'
'-x+1/2,-y+1/2,-z'
'-x+1/2,y+1/2,-z'
'x+1/2,-y+1/2,z'
loop_
_atom_site_label
_atom_site_type_symbol
_atom_site_fract_x
_atom_site_fract_y
_atom_site_fract_z
_atom_site_occupancy
Zn1 Zn 0.000 0.000 0.000 1
In1 In 0.250 0.250 0.500 1
W1 W 0.000 0.500 0.000 1
# Energy of formation   0.47 eV per atom